Record 1
This record from Alexandria describes a PBEsol-optimized structure of LaTa2Fe. The functional is SCAN.

```
data_LaTa2Fe
_symmetry_space_group_name_H-M 'P 4/m m m'
_symmetry_Int_Tables_number 123
_symmetry_space_group_name_Hall '-P 4 2'
_cell_length_a 3.854
_cell_length_b 3.854
_cell_length_c 5.057
_cell_angle_alpha 90.00
_cell_angle_beta 90.00
_cell_angle_gamma 90.00
loop_
_atom_site_label
_atom_site_type_symbol
_atom_site_fract_x
_atom_site_fract_y
_atom_site_fract_z
_atom_site_occupancy
La1 La 0.000 0.000 0.000 1
Ta1 Ta 0.000 0.500 0.500 1
Fe1 Fe 0.500 0.500 0.000 1
```

Computed properties:
spin magnetization	1.3	μB per formula unit
crystal system	tetragonal
total DFT energy (no corrections)	-3.5147	Ry/atom
ΔH_f (0 K)	0.780	eV/atom



Record 2
This record from Alexandria describes a PBEsol-optimized structure of La3TaFe. The functional is SCAN.

```
data_La3TaFe
_symmetry_space_group_name_H-M 'P m -3 m'
_symmetry_Int_Tables_number 221
_symmetry_space_group_name_Hall '-P 4 2 3'
_cell_length_a 5.121
_cell_length_b 5.121
_cell_length_c 5.121
_cell_angle_alpha 90.00
_cell_angle_beta 90.00
_cell_angle_gamma 90.00
loop_
_atom_site_label
_atom_site_type_symbol
_atom_site_fract_x
_atom_site_fract_y
_atom_site_fract_z
_atom_site_occupancy
La1 La 0.000 0.000 0.500 1
Ta1 Ta 0.500 0.500 0.500 1
Fe1 Fe 0.000 0.000 0.000 1
```

Computed properties:
spin magnetization	3.9	μB per formula unit
crystal system	cubic
total DFT energy (no corrections)	-3.0933	Ry/atom
ΔH_f (0 K)	0.719	eV/atom



Record 3
This record from Alexandria describes a PBEsol-optimized structure of LaTa2Fe. The functional is SCAN.

```
data_LaTa2Fe
_symmetry_space_group_name_H-M 'I 4/m m m'
_symmetry_Int_Tables_number 139
_symmetry_space_group_name_Hall '-I 4 2'
_cell_length_a 3.893
_cell_length_b 3.893
_cell_length_c 9.863
_cell_angle_alpha 90.00
_cell_angle_beta 90.00
_cell_angle_gamma 90.00
loop_
_atom_site_label
_atom_site_type_symbol
_atom_site_fract_x
_atom_site_fract_y
_atom_site_fract_z
_atom_site_occupancy
La1 La 0.000 0.000 0.000 1
Ta1 Ta 0.000 0.500 0.250 1
Fe1 Fe 0.000 0.000 0.500 1
```

Computed properties:
spin magnetization	1.5	μB per formula unit
crystal system	tetragonal
total DFT energy (no corrections)	-3.5183	Ry/atom
ΔH_f (0 K)	0.732	eV/atom



Record 4
This record from Alexandria describes a PBEsol-optimized structure of LaTaFe2. The functional is SCAN.

```
data_LaTaFe2
_symmetry_space_group_name_H-M 'I -4 m 2'
_symmetry_Int_Tables_number 119
_symmetry_space_group_name_Hall 'I -4 -2'
_cell_length_a 3.691
_cell_length_b 3.691
_cell_length_c 9.659
_cell_angle_alpha 90.00
_cell_angle_beta 90.00
_cell_angle_gamma 90.00
loop_
_atom_site_label
_atom_site_type_symbol
_atom_site_fract_x
_atom_site_fract_y
_atom_site_fract_z
_atom_site_occupancy
La1 La 0.000 0.000 0.000 1
Ta1 Ta 0.000 0.500 0.250 1
Fe1 Fe 0.000 0.000 0.500 1
Fe2 Fe 0.000 0.500 0.750 1
```

Computed properties:
spin magnetization	3.2	μB per formula unit
crystal system	tetragonal
total DFT energy (no corrections)	-2.6282	Ry/atom
ΔH_f (0 K)	0.728	eV/atom



Record 5
This record from Alexandria describes a PBEsol-optimized structure of LaTaFe3. The functional is SCAN.

```
data_LaTaFe3
_symmetry_space_group_name_H-M 'P m -3 m'
_symmetry_Int_Tables_number 221
_symmetry_space_group_name_Hall '-P 4 2 3'
_cell_length_a 4.346
_cell_length_b 4.346
_cell_length_c 4.346
_cell_angle_alpha 90.00
_cell_angle_beta 90.00
_cell_angle_gamma 90.00
loop_
_atom_site_label
_atom_site_type_symbol
_atom_site_fract_x
_atom_site_fract_y
_atom_site_fract_z
_atom_site_occupancy
La1 La 0.000 0.000 0.000 1
Ta1 Ta 0.500 0.500 0.500 1
Fe1 Fe 0.000 0.000 0.500 1
```

Computed properties:
spin magnetization	3.1	μB per formula unit
crystal system	cubic
total DFT energy (no corrections)	-2.2686	Ry/atom
ΔH_f (0 K)	1.949	eV/atom



Record 6
This record from Alexandria describes a PBEsol-optimized structure of LaTa2Fe. The functional is SCAN.

```
data_LaTa2Fe
_symmetry_space_group_name_H-M 'C m m m'
_symmetry_Int_Tables_number 65
_symmetry_space_group_name_Hall '-C 2 2'
_cell_length_a 5.301
_cell_length_b 10.048
_cell_length_c 2.809
_cell_angle_alpha 90.00
_cell_angle_beta 90.00
_cell_angle_gamma 90.00
loop_
_atom_site_label
_atom_site_type_symbol
_atom_site_fract_x
_atom_site_fract_y
_atom_site_fract_z
_atom_site_occupancy
La1 La 0.000 0.000 0.000 1
Ta1 Ta 0.250 0.250 0.500 1
Fe1 Fe 0.000 0.500 0.000 1
```

Computed properties:
spin magnetization	1.9	μB per formula unit
crystal system	orthorhombic
total DFT energy (no corrections)	-3.5141	Ry/atom
ΔH_f (0 K)	0.788	eV/atom



Record 7
This record from Alexandria describes a PBEsol-optimized structure of LaFe2Tc. The functional is SCAN.

```
data_LaFe2Tc
_symmetry_space_group_name_H-M 'F m -3 m'
_symmetry_Int_Tables_number 225
_symmetry_space_group_name_Hall '-F 4 2 3'
_cell_length_a 6.285
_cell_length_b 6.285
_cell_length_c 6.285
_cell_angle_alpha 90.00
_cell_angle_beta 90.00
_cell_angle_gamma 90.00
loop_
_atom_site_label
_atom_site_type_symbol
_atom_site_fract_x
_atom_site_fract_y
_atom_site_fract_z
_atom_site_occupancy
La1 La 0.000 0.000 0.000 1
Fe1 Fe 0.250 0.250 0.250 1
Tc1 Tc 0.000 0.000 0.500 1
```

Computed properties:
spin magnetization	5.2	μB per formula unit
crystal system	cubic
total DFT energy (no corrections)	-2.0588	Ry/atom
ΔH_f (0 K)	0.594	eV/atom



Record 8
This record from Alexandria describes a PBEsol-optimized structure of LaFe2Tc. The functional is SCAN.

```
data_LaFe2Tc
_symmetry_space_group_name_H-M 'P 4 m m'
_symmetry_Int_Tables_number 99
_symmetry_space_group_name_Hall 'P 4 -2'
_cell_length_a 2.969
_cell_length_b 2.969
_cell_length_c 7.239
_cell_angle_alpha 90.00
_cell_angle_beta 90.00
_cell_angle_gamma 90.00
loop_
_atom_site_label
_atom_site_type_symbol
_atom_site_fract_x
_atom_site_fract_y
_atom_site_fract_z
_atom_site_occupancy
La1 La 0.000 0.000 0.000 1
Fe1 Fe 0.000 0.000 0.520 1
Fe2 Fe 0.500 0.500 0.689 1
Tc1 Tc 0.500 0.500 0.336 1
```

Computed properties:
spin magnetization	4.1	μB per formula unit
crystal system	tetragonal
total DFT energy (no corrections)	-2.0794	Ry/atom
ΔH_f (0 K)	0.315	eV/atom